The following is a DFT calculation (PBE) of CsAlOF2 after structural relaxation.

Cell: 4.4646 4.4646 3.5584 Å, 90.00 90.00 90.00°
Sites, in units of the cell vectors:
Al: 0.0000 0.0000 0.0000
O: 0.0000 0.0000 0.5000
F: 0.0000 0.5000 0.0000
F: 0.5000 0.0000 0.0000
Cs: 0.5000 0.5000 0.5000

ΔE to the lowest computed polymorph	0	meV/atom
formation energy without anion corrections	-2.646	eV/atom
M_tot	0.00	Bohr magnetons per cell
calculated density	5.0	g cm⁻³
calculated total energy	-5.3053	eV per atom
DOS(E_F)	0.00	states/eV per cell



The following is a DFT calculation (PBE) of CsAlO2F after structural relaxation.

Cell: 4.3693 4.3693 5.5007 Å, 90.00 90.00 90.00°
Sites, in units of the cell vectors:
Al: 0.5000 0.5000 0.5000
O: 0.0000 0.5000 0.0000
F: 0.0000 0.0000 0.5000
Cs: 0.0000 0.0000 0.0000
O: 0.5000 0.0000 0.0000

formation energy without anion corrections	0.083	eV/atom
M_tot	0.00	Bohr magnetons per cell
calculated density	3.3	g cm⁻³
calculated total energy	-3.1940	eV per atom
DOS(E_F)	3.48	states/eV per cell



The following is a DFT calculation (PBE) of Cs2AlOF6 after structural relaxation.

Cell: 5.9238 5.9238 6.4865 Å, 62.83 62.83 90.00°
Site moments in Bohr magnetons follow the coordinates.
Sites, in units of the cell vectors:
F: 0.2234 0.7766 0.0000  0.16
Cs: 0.7500 0.2500 0.5000  0.00
F: 0.7766 0.2234 0.0000  0.16
F: 0.2234 0.2234 0.0000  0.16
Cs: 0.2500 0.7500 0.5000  0.00
O: 0.5000 0.5000 0.0000  1.86
F: 0.8182 0.8182 0.3635  0.05
F: 0.7766 0.7766 0.0000  0.16
F: 0.1818 0.1818 0.6365  0.05
Al: 0.0000 0.0000 0.0000  0.01

formation energy without anion corrections	-2.344	eV/atom
M_tot	3.00	Bohr magnetons per cell
calculated density	4.0	g cm⁻³
calculated total energy	-4.5073	eV per atom
DOS(E_F)	0.26	states/eV per cell



Look up the calculated total energy of the third one.
-4.5073 eV per atom



Look up the calculated total energy of the first one.
-5.3053 eV per atom



Which value of calculated density does entry 2 give?
3.3 g cm⁻³



Which value of calculated total energy does entry 3 give?
-4.5073 eV per atom